LiTa6O15 | meta-GGA SCAN | single point on PBEsol structure

Formation energy (no corrections), eV/atom: -2.90
Calculated volume, Å³/atom: 13.3
Space-group type: Pmc2_1, No. 26

Lattice parameters (Å, degrees): 3.866 8.985 16.841 90.00 90.00 90.00
Positions (direct):
Li1 0.000 0.154 0.000
Li2 0.000 0.846 0.500
Ta1 0.500 0.048 0.884
Ta2 0.500 0.184 0.195
Ta3 0.500 0.187 0.577
Ta4 0.500 0.315 0.388
Ta5 0.500 0.397 0.007
Ta6 0.500 0.400 0.768
Ta7 0.500 0.600 0.268
Ta8 0.500 0.603 0.507
Ta9 0.500 0.685 0.888
Ta10 0.500 0.813 0.077
Ta11 0.500 0.816 0.695
Ta12 0.500 0.952 0.384
O1 0.000 0.053 0.894
O2 0.000 0.177 0.200
O3 0.000 0.188 0.577
O4 0.000 0.315 0.385
O5 0.000 0.378 0.001
O6 0.000 0.622 0.501
O7 0.000 0.685 0.885
O8 0.000 0.812 0.077
O9 0.000 0.823 0.700
O10 0.000 0.947 0.394
O11 0.500 0.005 0.130
O12 0.500 0.128 0.313
O13 0.500 0.130 0.462
O14 0.500 0.181 0.976
O15 0.500 0.199 0.804
O16 0.500 0.336 0.115
O17 0.500 0.338 0.663
O18 0.500 0.385 0.267
O19 0.500 0.385 0.506
O20 0.500 0.452 0.885
O21 0.500 0.548 0.385
O22 0.500 0.615 0.006
O23 0.500 0.615 0.767
O24 0.500 0.662 0.163
O25 0.500 0.664 0.615
O26 0.500 0.801 0.304
O27 0.500 0.819 0.476
O28 0.500 0.870 0.962
O29 0.500 0.872 0.813
O30 0.500 0.995 0.630


MnSbMo | meta-GGA SCAN | single point on PBEsol structure

Formation energy (no corrections), eV/atom: -0.01
Calculated volume, Å³/atom: 16.6
Space-group type: F-43m, No. 216

Lattice parameters (Å, degrees): 4.126 4.126 4.126 60.00 60.00 60.00
Positions (direct):
Mn1 0.000 0.000 0.000
Sb1 0.750 0.750 0.750
Mo1 0.250 0.250 0.250


RbB2F | meta-GGA SCAN | single point on PBEsol structure

Formation energy (no corrections), eV/atom: -0.25
Calculated volume, Å³/atom: 18.5
Space-group type: I4_1/amd, No. 141

Lattice parameters (Å, degrees): 12.911 12.911 12.911 164.80 164.80 21.56
Positions (direct):
Rb1 0.375 0.625 0.750
Rb2 0.625 0.375 0.250
B1 0.000 0.000 0.000
B2 0.000 0.000 0.500
B3 0.000 0.500 0.000
B4 0.500 0.000 0.500
F1 0.125 0.875 0.250
F2 0.875 0.125 0.750


NaSr3Be3B3O9F4 | meta-GGA SCAN | single point on PBEsol structure

Formation energy (no corrections), eV/atom: -3.18
Calculated volume, Å³/atom: 11.5
Space-group type: R3m, No. 160

Lattice parameters (Å, degrees): 6.667 6.667 6.667 103.76 103.76 103.76
Positions (direct):
Na1 0.000 0.000 0.000
Sr1 0.201 0.201 0.593
Sr2 0.201 0.593 0.201
Sr3 0.593 0.201 0.201
Be1 0.514 0.788 0.788
Be2 0.788 0.514 0.788
Be3 0.788 0.788 0.514
B1 0.118 0.650 0.650
B2 0.650 0.118 0.650
B3 0.650 0.650 0.118
O1 0.031 0.552 0.783
O2 0.031 0.783 0.552
O3 0.304 0.611 0.611
O4 0.552 0.031 0.783
O5 0.552 0.783 0.031
O6 0.611 0.304 0.611
O7 0.611 0.611 0.304
O8 0.783 0.031 0.552
O9 0.783 0.552 0.031
F1 0.263 0.263 0.980
F2 0.263 0.980 0.263
F3 0.722 0.722 0.722
F4 0.980 0.263 0.263


Na5Ni2P2C2O14 | meta-GGA SCAN | single point on PBEsol structure

Formation energy (no corrections), eV/atom: -2.02
Calculated volume, Å³/atom: 11.6
Space-group type: Pm, No. 6

Lattice parameters (Å, degrees): 5.090 6.436 8.833 90.00 91.26 90.00
Positions (direct):
Na1 0.000 0.000 0.000
Na2 0.474 0.245 0.816
Na3 0.474 0.755 0.816
Na4 0.989 0.263 0.335
Na5 0.989 0.737 0.335
Ni1 0.007 0.500 0.730
Ni2 0.454 0.000 0.426
P1 0.522 0.500 0.498
P2 0.936 0.000 0.656
C1 0.509 0.000 0.146
C2 0.950 0.500 0.001
O1 0.010 0.189 0.759
O2 0.010 0.811 0.759
O3 0.079 0.000 0.505
O4 0.173 0.500 0.928
O5 0.287 0.000 0.216
O6 0.374 0.500 0.649
O7 0.454 0.307 0.401
O8 0.454 0.693 0.401
O9 0.514 0.000 0.001
O10 0.633 0.000 0.626
O11 0.721 0.000 0.229
O12 0.747 0.500 0.908
O13 0.826 0.500 0.535
O14 0.941 0.500 0.142


BeSb2Au | meta-GGA SCAN | single point on PBEsol structure

Formation energy (no corrections), eV/atom: 0.60
Calculated volume, Å³/atom: 20.6
Space-group type: F-43m, No. 216

Lattice parameters (Å, degrees): 4.883 4.883 4.883 60.00 60.00 60.00
Positions (direct):
Be1 0.000 0.000 0.000
Sb1 0.250 0.250 0.250
Sb2 0.500 0.500 0.500
Au1 0.750 0.750 0.750


CdNiPb2 | meta-GGA SCAN | single point on PBEsol structure

Calculated volume, Å³/atom: 21.9
E above lowest polymorph, meV per atom: 13
Space-group type: P4mm, No. 99
ΔH_f (0 K), eV per atom: 0.151

Lattice parameters (Å, degrees): 3.217 3.217 8.484 90.00 90.00 90.00
Positions (direct):
Cd1 0.000 0.000 0.000
Ni1 0.500 0.500 0.173
Pb1 0.000 0.000 0.369
Pb2 0.500 0.500 0.717


LiSc2Pb | meta-GGA SCAN | single point on PBEsol structure

Calculated volume, Å³/atom: 21.7
Space-group type: I-4m2, No. 119
ΔH_f (0 K), eV per atom: -0.288

Lattice parameters (Å, degrees): 5.634 5.634 5.634 135.40 135.40 64.91
Positions (direct):
Li1 0.000 0.000 0.000
Sc1 0.250 0.750 0.500
Sc2 0.500 0.500 0.000
Pb1 0.750 0.250 0.500


Question: Which of these has the lowest calculated volume?
Answer: NaSr3Be3B3O9F4


Question: Look up the calculated volume of the seventh one.
Answer: 21.9 Å³/atom


Question: What is the calculated volume in the fifth record?
Answer: 11.6 Å³/atom


Question: Which value of calculated volume does entry 6 give?
Answer: 20.6 Å³/atom